1.
A geometry-optimized Y2VNiPt structure. Source: Alexandria, functional PBE.

Total magnetization ... 2.577 μB per formula unit
Crystal system ... tetragonal
DFT formation energy ... 322 meV/atom

```
Y2VNiPt
1.0
5.401 0.000 0.000
0.000 4.661 0.000
0.000 0.000 5.401
Y Ni Pt V
2 1 1 1
direct
0.000 0.000 0.500
0.500 0.000 0.000
0.500 0.500 0.500
0.000 0.000 0.000
0.000 0.500 0.000
```

---

2.
A geometry-optimized Ni2PtW structure. Source: Alexandria, functional PBE.

Total magnetization ... 0.001 μB per formula unit
Crystal system ... monoclinic
Polymorph energy (0 for the lowest one) ... 0.111 eV per atom
DFT formation energy ... -88 meV/atom

```
Ni2PtW
1.0
-4.270 0.624 -1.342
-4.108 -1.863 -0.279
-1.871 1.601 4.028
Ni Pt W
2 1 1
direct
0.249 0.249 0.768
0.751 0.751 0.232
0.000 0.000 0.500
0.500 0.500 0.000
```

---

3.
A geometry-optimized Ni2PtW structure. Source: Alexandria, functional PBE.

Total magnetization ... 0.001 μB per formula unit
Crystal system ... monoclinic
Polymorph energy (0 for the lowest one) ... 0.183 eV per atom
DFT formation energy ... -16 meV/atom

```
Ni2PtW
1.0
2.713 0.000 0.000
0.000 4.707 -0.003
0.000 3.075 4.244
Ni Pt W
2 1 1
direct
0.000 0.000 0.000
0.500 0.500 0.000
0.500 0.500 0.500
0.000 0.000 0.500
```

---

4.
A geometry-optimized Ni6Pt5W structure. Source: Alexandria, functional PBE.

Total magnetization ... 0.000 μB per formula unit
Crystal system ... orthorhombic
DFT formation energy ... -138 meV/atom

```
Ni6Pt5W
1.0
-1.930 -0.820 -3.209
-4.018 -2.384 5.317
0.328 7.064 0.289
Ni W Pt
6 1 5
direct
0.248 0.084 0.412
0.752 0.588 0.916
0.746 0.246 0.246
0.254 0.754 0.754
0.248 0.412 0.084
0.752 0.916 0.588
0.000 0.000 0.000
0.500 0.162 0.838
0.000 0.335 0.665
0.500 0.500 0.500
0.000 0.665 0.335
0.500 0.838 0.162
```

---

5.
A geometry-optimized Ni2PtW structure. Source: Alexandria, functional PBE.

Total magnetization ... 0.662 μB per formula unit
Crystal system ... trigonal
Polymorph energy (0 for the lowest one) ... 0.253 eV per atom
DFT formation energy ... 54 meV/atom

```
Ni2PtW
1.0
-2.115 -5.643 -6.305
0.558 -5.491 -6.753
-0.409 -7.211 -4.889
Ni Pt W
2 1 1
direct
0.997 0.997 0.997
0.254 0.254 0.254
0.503 0.503 0.503
0.746 0.746 0.746
```

---

6.
A geometry-optimized Ni7Pt2W2 structure. Source: Alexandria, functional PBE.

Total magnetization ... 0.000 μB per formula unit
Crystal system ... monoclinic
DFT formation energy ... 94 meV/atom

```
Ni7Pt2W2
1.0
-2.401 0.203 1.389
4.707 -1.944 5.634
3.824 5.849 2.972
Ni Pt W
7 2 2
direct
0.165 0.432 0.901
0.835 0.099 0.568
0.835 0.568 0.099
0.165 0.901 0.432
0.369 0.368 0.368
0.000 0.000 0.000
0.631 0.632 0.632
0.319 0.817 0.817
0.681 0.183 0.183
0.500 0.267 0.733
0.500 0.733 0.267
```